Entry 1:
VASP calculation (PBE-GGA) on a geometry-optimized CaNp2S4 structure.

abc: 3.914 6.765 13.227
angles: 90.00 90.00 106.82
Site moments in Bohr magnetons follow the coordinates.
Sites, in units of the cell vectors:
S 0.772 0.543 0.381  -0.09
Ca 0.386 0.773 0.250  0.01
Np 0.867 0.735 0.567  3.85
Np 0.133 0.265 0.067  3.85
Ca 0.614 0.227 0.750  0.01
Np 0.867 0.735 0.933  3.85
S 0.228 0.457 0.619  -0.09
S 0.500 0.000 0.500  -0.11
S 0.960 0.919 0.750  -0.07
S 0.228 0.457 0.881  -0.09
S 0.500 0.000 0.000  -0.11
Np 0.133 0.265 0.433  3.85
S 0.040 0.081 0.250  -0.07
S 0.772 0.543 0.119  -0.09

Values from the calculation:
* E: -7.8999 eV/atom



Entry 2:
VASP calculation (PBE-GGA) on a geometry-optimized CaNp6S8 structure.

abc: 7.820 7.820 7.820
angles: 60.00 60.00 60.00
Site moments in Bohr magnetons follow the coordinates.
Sites, in units of the cell vectors:
Ca 0.000 0.000 0.000  0.04
S 0.748 0.252 0.748  -0.10
Np 0.500 0.500 0.000  3.90
S 0.750 0.750 0.750  -0.12
Np 0.000 0.500 0.500  3.90
Np 0.500 0.000 0.500  3.90
S 0.250 0.250 0.250  -0.12
Np 0.000 0.000 0.500  3.90
Np 0.000 0.500 0.000  3.90
S 0.748 0.252 0.252  -0.10
Np 0.500 0.000 0.000  3.90
S 0.252 0.748 0.748  -0.10
S 0.252 0.748 0.252  -0.10
S 0.252 0.252 0.748  -0.10
S 0.748 0.748 0.252  -0.10

Values from the calculation:
* E: -8.9634 eV/atom



Entry 3:
VASP calculation (PBE-GGA) on a geometry-optimized CaNpTl2S4 structure.

abc: 4.092 7.816 7.029
angles: 72.58 90.00 90.00
Site moments in Bohr magnetons follow the coordinates.
Sites, in units of the cell vectors:
S 0.500 0.304 0.717  -0.08
Tl 0.500 0.000 0.500  -0.01
Np 0.000 0.500 0.500  3.29
S 0.500 0.696 0.283  -0.08
S 0.000 0.302 0.252  -0.07
S 0.000 0.698 0.748  -0.07
Tl 0.000 0.000 0.000  -0.01
Ca 0.500 0.500 0.000  0.00

Values from the calculation:
* E: -5.6893 eV/atom



Entry 4:
VASP calculation (PBE-GGA) on a geometry-optimized Ca2TmNpS4 structure.

abc: 3.935 6.825 6.917
angles: 109.29 90.00 90.00
Site moments in Bohr magnetons follow the coordinates.
Sites, in units of the cell vectors:
Ca 0.500 0.000 0.500  0.02
S 0.500 0.252 0.244  -0.05
Ca 0.000 0.500 0.500  0.02
S 0.000 0.742 0.242  -0.02
Tm 0.500 0.500 0.000  0.12
S 0.000 0.258 0.758  -0.02
Np 0.000 0.000 0.000  4.09
S 0.500 0.748 0.756  -0.05

Values from the calculation:
* E: -6.5785 eV/atom



Entry 5:
VASP calculation (PBE-GGA) on a geometry-optimized Ca2NpUS6 structure.

abc: 5.276 7.437 7.437
angles: 90.00 90.00 90.00
Site moments in Bohr magnetons follow the coordinates.
Sites, in units of the cell vectors:
Np 0.667 0.500 0.500  3.41
S 0.183 0.000 0.000  -0.07
Ca 0.938 0.000 0.500  0.02
S 0.719 0.248 0.248  -0.07
S 0.719 0.752 0.752  -0.07
S 0.719 0.752 0.248  -0.07
S 0.173 0.500 0.500  -0.12
Ca 0.938 0.500 0.000  0.02
U 0.672 0.000 0.000  1.74
S 0.719 0.248 0.752  -0.07

Values from the calculation:
* E: -6.7243 eV/atom



Entry 6:
VASP calculation (PBE-GGA) on a geometry-optimized Ca3Y3NpS8 structure.

abc: 7.893 7.893 7.998
angles: 119.57 90.00 120.00
Site moments in Bohr magnetons follow the coordinates.
Sites, in units of the cell vectors:
S 0.747 0.993 0.740  -0.03
S 0.253 0.007 0.260  -0.03
Ca 0.500 0.500 0.000  0.01
S 0.753 0.007 0.260  -0.03
Ca 0.000 0.500 0.000  0.01
S 0.247 0.993 0.740  -0.03
S 0.247 0.494 0.740  -0.03
S 0.753 0.506 0.260  -0.03
Np 0.000 0.000 0.500  3.86
S 0.748 0.497 0.745  0.01
Y 0.500 0.500 0.500  0.05
S 0.252 0.503 0.255  0.01
Y 0.000 0.500 0.500  0.05
Y 0.500 0.000 0.500  0.05
Ca 0.000 0.000 0.000  0.01

Values from the calculation:
* E: -6.7101 eV/atom



Entry 7:
VASP calculation (PBE-GGA) on a geometry-optimized Ca2NpZnS5 structure.

abc: 3.928 8.697 12.111
angles: 90.00 90.00 103.05
Site moments in Bohr magnetons follow the coordinates.
Sites, in units of the cell vectors:
Np 0.791 0.581 0.522  3.26
S 0.713 0.426 0.172  -0.09
S 0.501 0.003 0.272  -0.01
S 0.948 0.896 0.548  -0.05
Zn 0.556 0.111 0.941  0.00
S 0.287 0.574 0.672  -0.09
S 0.305 0.611 0.372  -0.08
S 0.364 0.729 0.004  -0.05
S 0.695 0.389 0.872  -0.08
Ca 0.119 0.239 0.319  0.00
Ca 0.899 0.798 0.174  0.00
S 0.499 0.997 0.772  -0.01
Ca 0.101 0.202 0.674  0.00
Ca 0.881 0.761 0.819  0.00
Np 0.209 0.419 0.022  3.26
S 0.636 0.271 0.504  -0.05
Zn 0.444 0.889 0.441  0.00
S 0.052 0.104 0.048  -0.05

Values from the calculation:
* E: -5.7967 eV/atom



Entry 8:
VASP calculation (PBE-GGA) on a geometry-optimized Ca2ThNpSb4 structure.

abc: 4.519 7.805 7.784
angles: 109.60 90.00 90.00
Site moments in Bohr magnetons follow the coordinates.
Sites, in units of the cell vectors:
Th 0.500 0.500 0.000  -0.06
Np 0.000 0.000 0.000  3.65
Ca 0.500 0.000 0.500  -0.01
Sb 0.500 0.240 0.237  -0.09
Ca 0.000 0.500 0.500  -0.03
Sb 0.000 0.247 0.758  -0.05
Sb 0.000 0.753 0.242  -0.05
Sb 0.500 0.760 0.763  -0.09

Values from the calculation:
* E: -5.8590 eV/atom



Entry 9:
VASP calculation (PBE-GGA) on a geometry-optimized Ca2TmNpSb4 structure.

abc: 4.468 7.633 7.737
angles: 109.51 90.00 90.00
Site moments in Bohr magnetons follow the coordinates.
Sites, in units of the cell vectors:
Np 0.000 0.000 0.000  3.49
Ca 0.500 0.000 0.500  -0.02
Tm 0.500 0.500 0.000  -0.07
Sb 0.500 0.757 0.767  -0.10
Ca 0.000 0.500 0.500  -0.04
Sb 0.000 0.747 0.233  -0.07
Sb 0.500 0.243 0.233  -0.10
Sb 0.000 0.253 0.767  -0.07

Values from the calculation:
* E: -5.4695 eV/atom



Entry 10:
VASP calculation (PBE-GGA) on a geometry-optimized Ca2ZrNpSb4 structure.

abc: 4.345 7.511 7.745
angles: 108.73 90.00 90.00
Site moments in Bohr magnetons follow the coordinates.
Sites, in units of the cell vectors:
Np 0.500 0.500 0.000  3.63
Sb 0.000 0.246 0.767  -0.08
Sb 0.500 0.765 0.772  -0.04
Ca 0.000 0.500 0.500  -0.01
Sb 0.500 0.235 0.228  -0.04
Sb 0.000 0.754 0.233  -0.08
Ca 0.500 0.000 0.500  -0.03
Zr 0.000 0.000 0.000  0.02

Values from the calculation:
* E: -5.9068 eV/atom



Entry 11:
VASP calculation (PBE-GGA) on a geometry-optimized CaNpSe2 structure.

abc: 4.009 4.009 7.762
angles: 75.04 75.04 60.00
Site moments in Bohr magnetons follow the coordinates.
Sites, in units of the cell vectors:
Ca 0.669 0.669 0.994  0.05
Se 0.081 0.081 0.756  -0.05
Se 0.252 0.252 0.245  -0.05
Np 0.499 0.499 0.504  4.32

Values from the calculation:
* E: -6.8750 eV/atom



Entry 12:
VASP calculation (PBE-GGA) on a geometry-optimized Ca2NpSe4 structure.

abc: 7.636 7.636 7.636
angles: 109.74 108.93 109.74
Site moments in Bohr magnetons follow the coordinates.
Sites, in units of the cell vectors:
Se 0.480 0.117 0.231  -0.10
Np 0.000 0.000 0.000  3.47
Se 0.114 0.383 0.364  -0.10
Ca 0.494 0.369 0.625  -0.01
Ca 0.875 0.131 0.506  -0.01
Se 0.769 0.249 0.886  -0.10
Se 0.270 0.251 0.886  -0.10
Ca 0.375 0.869 0.744  -0.01
Ca 0.256 0.631 0.125  -0.01
Se 0.636 0.751 0.520  -0.10
Se 0.636 0.749 0.019  -0.10
Np 0.750 0.500 0.250  3.47
Se 0.981 0.617 0.730  -0.10
Se 0.114 0.883 0.364  -0.10

Values from the calculation:
* E: -5.9528 eV/atom



Entry 13:
VASP calculation (PBE-GGA) on a geometry-optimized Ca2NpSe4 structure.

abc: 4.000 7.220 13.740
angles: 90.00 90.00 106.08
Site moments in Bohr magnetons follow the coordinates.
Sites, in units of the cell vectors:
Se 0.780 0.560 0.372  -0.10
Se 0.500 0.000 0.000  -0.07
Ca 0.130 0.260 0.067  -0.01
Se 0.021 0.042 0.250  -0.13
Se 0.220 0.440 0.628  -0.10
Ca 0.870 0.740 0.567  -0.01
Ca 0.870 0.740 0.933  -0.01
Se 0.500 0.000 0.500  -0.07
Np 0.378 0.756 0.250  3.48
Se 0.780 0.560 0.128  -0.10
Np 0.622 0.244 0.750  3.48
Ca 0.130 0.260 0.433  -0.01
Se 0.979 0.958 0.750  -0.13
Se 0.220 0.440 0.872  -0.10

Values from the calculation:
* E: -5.9208 eV/atom



Entry 14:
VASP calculation (PBE-GGA) on a geometry-optimized CaNpSe2 structure.

abc: 4.138 4.138 7.292
angles: 73.52 73.52 60.00
Site moments in Bohr magnetons follow the coordinates.
Sites, in units of the cell vectors:
Se 0.749 0.749 0.752  -0.05
Np 0.000 0.000 0.000  4.23
Se 0.251 0.251 0.248  -0.05
Ca 0.500 0.500 0.500  0.03

Values from the calculation:
* E: -6.9464 eV/atom



Entry 15:
VASP calculation (PBE-GGA) on a geometry-optimized Ca2NpSe3 structure.

abc: 4.169 5.909 7.277
angles: 113.96 106.65 90.00
Site moments in Bohr magnetons follow the coordinates.
Sites, in units of the cell vectors:
Se 0.500 0.000 0.500  -0.04
Se 0.165 0.665 0.831  -0.04
Ca 0.167 0.167 0.835  0.04
Np 0.500 0.500 0.500  4.24
Se 0.835 0.335 0.169  -0.04
Ca 0.833 0.833 0.165  0.04

Values from the calculation:
* E: -6.1857 eV/atom



Entry 16:
VASP calculation (PBE-GGA) on a geometry-optimized CaNpSe3 structure.

abc: 4.255 6.869 9.012
angles: 90.00 90.00 90.00
Site moments in Bohr magnetons follow the coordinates.
Sites, in units of the cell vectors:
Ca 0.000 0.500 0.863  -0.01
Se 0.000 0.768 0.339  -0.13
Se 0.000 0.000 0.923  -0.10
Se 0.500 0.268 0.661  -0.13
Np 0.000 0.000 0.612  3.39
Se 0.500 0.732 0.661  -0.13
Ca 0.500 0.000 0.137  -0.01
Np 0.500 0.500 0.388  3.39
Se 0.500 0.500 0.077  -0.10
Se 0.000 0.232 0.339  -0.13

Values from the calculation:
* E: -6.4491 eV/atom



Entry 17:
VASP calculation (PBE-GGA) on a geometry-optimized CaNp2Tl3Se6 structure.

abc: 7.329 7.329 8.101
angles: 98.64 98.64 119.95
Site moments in Bohr magnetons follow the coordinates.
Sites, in units of the cell vectors:
Np 0.333 0.667 0.000  3.67
Ca 0.000 0.000 0.000  0.00
Se 0.279 0.279 0.799  -0.08
Se 0.931 0.584 0.794  -0.08
Se 0.416 0.069 0.206  -0.08
Tl 0.837 0.163 0.500  -0.01
Se 0.721 0.721 0.201  -0.08
Np 0.667 0.333 0.000  3.67
Se 0.584 0.931 0.794  -0.08
Tl 0.163 0.837 0.500  -0.01
Tl 0.500 0.500 0.500  -0.01
Se 0.069 0.416 0.206  -0.08

Values from the calculation:
* E: -5.7000 eV/atom



Entry 18:
VASP calculation (PBE-GGA) on a geometry-optimized Ca2NpTl3Se6 structure.

abc: 7.331 7.331 8.037
angles: 98.70 98.70 119.80
Site moments in Bohr magnetons follow the coordinates.
Sites, in units of the cell vectors:
Ca 0.666 0.334 0.000  -0.01
Tl 0.831 0.169 0.500  -0.02
Np 0.000 0.000 0.000  2.81
Tl 0.500 0.500 0.500  -0.02
Se 0.760 0.760 0.211  -0.08
Ca 0.334 0.666 0.000  -0.01
Se 0.932 0.621 0.796  -0.09
Se 0.379 0.068 0.204  -0.09
Se 0.621 0.932 0.796  -0.09
Se 0.068 0.379 0.204  -0.09
Se 0.240 0.240 0.789  -0.08
Tl 0.169 0.831 0.500  -0.02

Values from the calculation:
* E: -4.8653 eV/atom



Entry 19:
VASP calculation (PBE-GGA) on a geometry-optimized CaNp3Tl3Se8 structure.

abc: 8.383 8.381 9.108
angles: 117.39 90.00 120.01
Site moments in Bohr magnetons follow the coordinates.
Sites, in units of the cell vectors:
Se 0.758 0.039 0.298  -0.10
Np 0.000 0.500 0.500  3.58
Se 0.242 0.961 0.702  -0.10
Tl 0.500 0.500 0.000  -0.01
Se 0.280 0.039 0.298  -0.10
Se 0.720 0.961 0.702  -0.10
Ca 0.000 0.000 0.500  0.00
Np 0.500 0.000 0.500  3.58
Se 0.241 0.482 0.702  -0.10
Se 0.265 0.530 0.297  -0.09
Se 0.759 0.518 0.298  -0.10
Tl 0.000 0.500 0.000  -0.01
Se 0.735 0.470 0.703  -0.09
Np 0.500 0.500 0.500  3.58
Tl 0.000 0.000 0.000  -0.01

Values from the calculation:
* E: -6.0903 eV/atom



Entry 20:
VASP calculation (PBE-GGA) on a geometry-optimized CaNpSi structure.

abc: 3.434 6.833 14.572
angles: 147.03 83.23 75.45
Site moments in Bohr magnetons follow the coordinates.
Sites, in units of the cell vectors:
Si 0.579 0.338 0.505  -0.01
Si 0.421 0.662 0.495  -0.01
Ca 0.144 0.462 0.251  0.00
Np 0.560 0.747 0.134  0.89
Ca 0.856 0.538 0.749  0.00
Np 0.440 0.253 0.866  0.89

Values from the calculation:
* E: -6.7703 eV/atom



Entry 21:
VASP calculation (PBE-GGA) on a geometry-optimized CaNpSn6 structure.

abc: 4.706 4.706 9.392
angles: 90.00 90.00 90.00
Site moments in Bohr magnetons follow the coordinates.
Sites, in units of the cell vectors:
Np 0.000 0.000 0.500  3.99
Sn 0.500 0.000 0.747  0.01
Sn 0.500 0.500 0.000  0.01
Ca 0.000 0.000 0.000  -0.01
Sn 0.500 0.500 0.500  -0.02
Sn 0.500 0.000 0.253  0.01
Sn 0.000 0.500 0.253  0.01
Sn 0.000 0.500 0.747  0.01

Values from the calculation:
* ΔE_f: -0.257 eV/atom



Entry 22:
VASP calculation (PBE-GGA) on a geometry-optimized Ca3NpSn12 structure.

abc: 4.716 4.716 19.037
angles: 90.00 90.00 90.00
Site moments in Bohr magnetons follow the coordinates.
Sites, in units of the cell vectors:
Sn 0.000 0.500 0.374  -0.01
Sn 0.500 0.000 0.122  0.00
Sn 0.000 0.500 0.878  0.00
Ca 0.000 0.000 0.755  -0.01
Ca 0.000 0.000 0.500  0.00
Sn 0.500 0.000 0.626  -0.01
Sn 0.000 0.500 0.122  0.00
Sn 0.500 0.500 0.752  0.00
Sn 0.500 0.500 0.500  0.01
Np 0.000 0.000 0.000  3.95
Sn 0.500 0.000 0.374  -0.01
Sn 0.500 0.500 0.248  0.00
Ca 0.000 0.000 0.245  -0.01
Sn 0.000 0.500 0.626  -0.01
Sn 0.500 0.500 0.000  -0.03
Sn 0.500 0.000 0.878  0.00

Values from the calculation:
* ΔE_f: -0.317 eV/atom



| no. | spin magnetization (μB/f.u.) |
| --- | --- |
| 1 | 7.99 |
| 2 | 24.89 |
| 3 | 3.00 |
| 4 | 4.73 |
| 5 | 5.00 |
| 6 | 4.34 |
| 7 | 3.00 |
| 8 | 3.03 |
| 9 | 2.61 |
| 10 | 3.22 |
| 11 | 5.00 |
| 12 | 3.00 |
| 13 | 3.00 |
| 14 | 4.71 |
| 15 | 4.82 |
| 16 | 3.00 |
| 17 | 7.00 |
| 18 | 2.00 |
| 19 | 10.00 |
| 20 | 0.87 |
| 21 | 4.34 |
| 22 | 4.15 |